1.
# Tb2Ce3TmBi6 | Alexandria | PBE-GGA | optimized geometry
data_Tb2Ce3TmBi6
_space_group_name_H-M_alt 'C 1 2/m 1'
_space_group_IT_number 12
_cell_length_a 7.864
_cell_length_b 13.623
_cell_length_c 7.857
_cell_angle_alpha 90.00
_cell_angle_beta 109.50
_cell_angle_gamma 90.00
loop_
_space_group_symop_operation_xyz
'x,y,z'
'-x,-y,-z'
'-x,y,-z'
'x,-y,z'
'x+1/2,y+1/2,z'
'-x+1/2,-y+1/2,-z'
'-x+1/2,y+1/2,-z'
'x+1/2,-y+1/2,z'
loop_
_atom_site_label
_atom_site_type_symbol
_atom_site_fract_x
_atom_site_fract_y
_atom_site_fract_z
_atom_site_occupancy
Tb1 Tb 0.000 0.166 0.000 1
Ce1 Ce 0.000 0.000 0.500 1
Ce2 Ce 0.000 0.332 0.500 1
Tm1 Tm 0.000 0.500 0.000 1
Bi1 Bi 0.246 0.334 0.242 1
Bi2 Bi 0.250 0.000 0.244 1
# calculated volume	33.06	Å³/atom
# ΔE_f	-9.84	eV/f.u.


2.
# TbCe2YBi5 | Alexandria | PBE-GGA | optimized geometry
data_TbCe2YBi5
_space_group_name_H-M_alt 'P 4/m m m'
_space_group_IT_number 123
_space_group_name_Hall '-P 4 2'
_cell_length_a 5.478
_cell_length_b 5.478
_cell_length_c 11.849
_cell_angle_alpha 90.00
_cell_angle_beta 90.00
_cell_angle_gamma 90.00
loop_
_atom_site_label
_atom_site_type_symbol
_atom_site_fract_x
_atom_site_fract_y
_atom_site_fract_z
_atom_site_occupancy
Tb1 Tb 0.000 0.000 0.000 1
Ce1 Ce 0.500 0.500 0.217 1
Y1 Y 0.000 0.000 0.500 1
Bi1 Bi 0.000 0.000 0.254 1
Bi2 Bi 0.000 0.500 0.000 1
Bi3 Bi 0.500 0.500 0.500 1
# calculated volume	39.50	Å³/atom
# ΔE_f	-0.89	eV/f.u.


3.
# Tb2CeY3Bi6 | Alexandria | PBE-GGA | optimized geometry
data_Tb2CeY3Bi6
_space_group_name_H-M_alt 'C 1 2/m 1'
_space_group_IT_number 12
_cell_length_a 7.806
_cell_length_b 13.522
_cell_length_c 7.808
_cell_angle_alpha 90.00
_cell_angle_beta 109.48
_cell_angle_gamma 90.00
loop_
_space_group_symop_operation_xyz
'x,y,z'
'-x,-y,-z'
'-x,y,-z'
'x,-y,z'
'x+1/2,y+1/2,z'
'-x+1/2,-y+1/2,-z'
'-x+1/2,y+1/2,-z'
'x+1/2,-y+1/2,z'
loop_
_atom_site_label
_atom_site_type_symbol
_atom_site_fract_x
_atom_site_fract_y
_atom_site_fract_z
_atom_site_occupancy
Tb1 Tb 0.000 0.167 0.000 1
Ce1 Ce 0.000 0.500 0.000 1
Y1 Y 0.000 0.000 0.500 1
Y2 Y 0.000 0.335 0.500 1
Bi1 Bi 0.248 0.000 0.251 1
Bi2 Bi 0.248 0.168 0.747 1
# calculated volume	32.37	Å³/atom
# ΔE_f	-10.52	eV/f.u.


4.
# Tb2Ce3YBi6 | Alexandria | PBE-GGA | optimized geometry
data_Tb2Ce3YBi6
_space_group_name_H-M_alt 'C 1 2/m 1'
_space_group_IT_number 12
_cell_length_a 7.877
_cell_length_b 13.642
_cell_length_c 7.872
_cell_angle_alpha 90.00
_cell_angle_beta 109.49
_cell_angle_gamma 90.00
loop_
_space_group_symop_operation_xyz
'x,y,z'
'-x,-y,-z'
'-x,y,-z'
'x,-y,z'
'x+1/2,y+1/2,z'
'-x+1/2,-y+1/2,-z'
'-x+1/2,y+1/2,-z'
'x+1/2,-y+1/2,z'
loop_
_atom_site_label
_atom_site_type_symbol
_atom_site_fract_x
_atom_site_fract_y
_atom_site_fract_z
_atom_site_occupancy
Tb1 Tb 0.000 0.167 0.000 1
Ce1 Ce 0.000 0.000 0.500 1
Ce2 Ce 0.000 0.333 0.500 1
Y1 Y 0.000 0.500 0.000 1
Bi1 Bi 0.248 0.000 0.244 1
Bi2 Bi 0.248 0.333 0.244 1
# calculated volume	33.23	Å³/atom
# ΔE_f	-10.09	eV/f.u.


5.
# Ce3TcBi | Alexandria | PBE-GGA | optimized geometry
data_Ce3TcBi
_space_group_name_H-M_alt 'C m m m'
_space_group_IT_number 65
_space_group_name_Hall '-C 2 2'
_cell_length_a 7.572
_cell_length_b 14.735
_cell_length_c 5.012
_cell_angle_alpha 90.00
_cell_angle_beta 90.00
_cell_angle_gamma 90.00
loop_
_atom_site_label
_atom_site_type_symbol
_atom_site_fract_x
_atom_site_fract_y
_atom_site_fract_z
_atom_site_occupancy
Ce1 Ce 0.000 0.125 0.000 1
Ce2 Ce 0.179 0.500 0.500 1
Ce3 Ce 0.250 0.250 0.500 1
Tc1 Tc 0.000 0.107 0.500 1
Bi1 Bi 0.000 0.359 0.000 1
# ΔE to the lowest computed polymorph	0	meV/atom
# calculated volume	27.96	Å³/atom
# ΔE_f	-1.85	eV/f.u.


6.
# Ce5TcBi2 | Alexandria | PBE-GGA | optimized geometry
data_Ce5TcBi2
_space_group_name_H-M_alt 'P b a m'
_space_group_IT_number 55
_cell_length_a 7.982
_cell_length_b 12.506
_cell_length_c 4.648
_cell_angle_alpha 90.00
_cell_angle_beta 90.00
_cell_angle_gamma 90.00
loop_
_space_group_symop_operation_xyz
'x,y,z'
'-x,-y,-z'
'-x,-y,z'
'x,y,-z'
'x+1/2,-y+1/2,-z'
'-x+1/2,y+1/2,z'
'-x+1/2,y+1/2,-z'
'x+1/2,-y+1/2,z'
loop_
_atom_site_label
_atom_site_type_symbol
_atom_site_fract_x
_atom_site_fract_y
_atom_site_fract_z
_atom_site_occupancy
Ce1 Ce 0.000 0.000 0.000 1
Ce2 Ce 0.120 0.307 0.000 1
Ce3 Ce 0.208 0.555 0.500 1
Tc1 Tc 0.000 0.500 0.000 1
Bi1 Bi 0.091 0.820 0.500 1
# ΔE to the lowest computed polymorph	0	meV/atom
# calculated volume	29.00	Å³/atom
# ΔE_f	-3.57	eV/f.u.


7.
# Ce8Tc2Bi | Alexandria | PBE-GGA | optimized geometry
data_Ce8Tc2Bi
_space_group_name_H-M_alt 'C 1 2/m 1'
_space_group_IT_number 12
_cell_length_a 8.495
_cell_length_b 13.384
_cell_length_c 5.259
_cell_angle_alpha 90.00
_cell_angle_beta 102.11
_cell_angle_gamma 90.00
loop_
_space_group_symop_operation_xyz
'x,y,z'
'-x,-y,-z'
'-x,y,-z'
'x,-y,z'
'x+1/2,y+1/2,z'
'-x+1/2,-y+1/2,-z'
'-x+1/2,y+1/2,-z'
'x+1/2,-y+1/2,z'
loop_
_atom_site_label
_atom_site_type_symbol
_atom_site_fract_x
_atom_site_fract_y
_atom_site_fract_z
_atom_site_occupancy
Ce1 Ce 0.000 0.245 0.000 1
Ce2 Ce 0.078 0.000 0.797 1
Ce3 Ce 0.204 0.389 0.555 1
Tc1 Tc 0.000 0.209 0.500 1
Bi1 Bi 0.000 0.500 0.000 1
# calculated volume	26.58	Å³/atom
# ΔE_f	-1.34	eV/f.u.


8.
# Ce4TcBi2 | Alexandria | PBE-GGA | optimized geometry
data_Ce4TcBi2
_space_group_name_H-M_alt 'P 1 21/m 1'
_space_group_IT_number 11
_cell_length_a 6.637
_cell_length_b 6.652
_cell_length_c 9.809
_cell_angle_alpha 90.00
_cell_angle_beta 109.80
_cell_angle_gamma 90.00
loop_
_space_group_symop_operation_xyz
'x,y,z'
'-x,-y,-z'
'-x,y+1/2,-z'
'x,-y+1/2,z'
loop_
_atom_site_label
_atom_site_type_symbol
_atom_site_fract_x
_atom_site_fract_y
_atom_site_fract_z
_atom_site_occupancy
Ce1 Ce 0.016 0.019 0.260 1
Ce2 Ce 0.350 0.750 0.067 1
Ce3 Ce 0.410 0.750 0.626 1
Tc1 Tc 0.292 0.750 0.308 1
Bi1 Bi 0.231 0.250 0.043 1
Bi2 Bi 0.250 0.250 0.572 1
# calculated volume	29.11	Å³/atom
# ΔE_f	-2.94	eV/f.u.


9.
# Ce5TcBi2 | Alexandria | PBE-GGA | optimized geometry
data_Ce5TcBi2
_space_group_name_H-M_alt 'C m c m'
_space_group_IT_number 63
_space_group_name_Hall '-C 2c 2'
_cell_length_a 5.250
_cell_length_b 16.822
_cell_length_c 13.336
_cell_angle_alpha 90.00
_cell_angle_beta 90.00
_cell_angle_gamma 90.00
loop_
_atom_site_label
_atom_site_type_symbol
_atom_site_fract_x
_atom_site_fract_y
_atom_site_fract_z
_atom_site_occupancy
Ce1 Ce 0.000 0.064 0.107 1
Ce2 Ce 0.000 0.276 0.050 1
Ce3 Ce 0.000 0.298 0.750 1
Tc1 Tc 0.000 0.164 0.250 1
Bi1 Bi 0.000 0.129 0.620 1
# ΔE to the lowest computed polymorph	454	meV/atom
# calculated volume	36.81	Å³/atom
# ΔE_f	0.06	eV/f.u.


10.
# CeTcBi | Alexandria | PBE-GGA | optimized geometry
data_CeTcBi
_space_group_name_H-M_alt 'I 4/m m m'
_space_group_IT_number 139
_space_group_name_Hall '-I 4 2'
_cell_length_a 3.787
_cell_length_b 3.787
_cell_length_c 22.619
_cell_angle_alpha 90.00
_cell_angle_beta 90.00
_cell_angle_gamma 90.00
loop_
_atom_site_label
_atom_site_type_symbol
_atom_site_fract_x
_atom_site_fract_y
_atom_site_fract_z
_atom_site_occupancy
Ce1 Ce 0.000 0.000 0.163 1
Tc1 Tc 0.000 0.000 0.266 1
Bi1 Bi 0.000 0.000 0.431 1
# calculated volume	27.03	Å³/atom
# ΔE_f	-0.19	eV/f.u.


11.
# Ce12TcBi6 | Alexandria | PBE-GGA | optimized geometry
data_Ce12TcBi6
_space_group_name_H-M_alt 'R -3'
_space_group_IT_number 148
_space_group_name_Hall '-R 3'
_cell_length_a 12.2566
_cell_length_b 12.2566
_cell_length_c 12.7359
_cell_angle_alpha 90.00
_cell_angle_beta 90.00
_cell_angle_gamma 120.00
loop_
_atom_site_label
_atom_site_type_symbol
_atom_site_fract_x
_atom_site_fract_y
_atom_site_fract_z
_atom_site_occupancy
Ce1 Ce 0.0481 0.8644 0.3209 1
Ce2 Ce 0.0632 0.2099 0.8832 1
Tc1 Tc 0.0000 0.0000 0.0000 1
Bi1 Bi 0.0183 0.5842 0.2238 1
# calculated volume	29.07	Å³/atom
# ΔE_f	-6.61	eV/f.u.


12.
# Ce3TcBi | Alexandria | PBE-GGA | optimized geometry
data_Ce3TcBi
_space_group_name_H-M_alt 'P 1 21/m 1'
_space_group_IT_number 11
_cell_length_a 8.307
_cell_length_b 4.450
_cell_length_c 8.549
_cell_angle_alpha 90.00
_cell_angle_beta 116.97
_cell_angle_gamma 90.00
loop_
_space_group_symop_operation_xyz
'x,y,z'
'-x,-y,-z'
'-x,y+1/2,-z'
'x,-y+1/2,z'
loop_
_atom_site_label
_atom_site_type_symbol
_atom_site_fract_x
_atom_site_fract_y
_atom_site_fract_z
_atom_site_occupancy
Ce1 Ce 0.034 0.250 0.232 1
Ce2 Ce 0.335 0.250 0.906 1
Ce3 Ce 0.338 0.750 0.593 1
Tc1 Tc 0.102 0.250 0.623 1
Bi1 Bi 0.314 0.750 0.191 1
# ΔE to the lowest computed polymorph	32	meV/atom
# calculated volume	28.16	Å³/atom
# ΔE_f	-1.69	eV/f.u.